A relaxed Rb6CrF12 crystal. Source: Alexandria via LeMat-Bulk, functional PBE with a Hubbard U.

a b c (Å): 7.7292 7.7292 7.7292
angles (deg): 99.17 99.17 99.17
Atoms (fractional coordinates):
Rb (0.1024, 0.6545, 0.7846)
Rb (0.2154, 0.8976, 0.3455)
Rb (0.3455, 0.2154, 0.8976)
Rb (0.6545, 0.7846, 0.1024)
Rb (0.7846, 0.1024, 0.6545)
Rb (0.8976, 0.3455, 0.2154)
Cr (0.5000, 0.5000, 0.5000)
F (0.0410, 0.3462, 0.9119)
F (0.0881, 0.9590, 0.6538)
F (0.2594, 0.5069, 0.4501)
F (0.3462, 0.9119, 0.0410)
F (0.4501, 0.2594, 0.5069)
F (0.4931, 0.5499, 0.7406)
F (0.5069, 0.4501, 0.2594)
F (0.5499, 0.7406, 0.4931)
F (0.6538, 0.0881, 0.9590)
F (0.7406, 0.4931, 0.5499)
F (0.9119, 0.0410, 0.3462)
F (0.9590, 0.6538, 0.0881)

Results
* V: 441.8 Å³ per cell
* magnetic moment: 3.2 μB/cell
* Fermi-level density of states: 14.5 states/eV/cell
* total DFT energy (no corrections): -4.2580 eV/atom
* space-group type: R-3 (148)